Record 1
# LaZnRh2 (PBE, relaxed)
data_LaZnRh2
_cell_length_a 2.9957
_cell_length_b 2.9957
_cell_length_c 28.4034
_cell_angle_alpha 90.00
_cell_angle_beta 90.00
_cell_angle_gamma 120.00
_symmetry_space_group_name_H-M 'R 3 m'
_symmetry_Int_Tables_number 160
_symmetry_space_group_name_Hall 'R 3 -2"'
loop_
_atom_site_label
_atom_site_fract_x
_atom_site_fract_y
_atom_site_fract_z
_atom_site_occupancy
La1 0.0000 0.0000 0.0000 1
Zn1 0.0000 0.0000 0.2333 1
Rh1 0.0000 0.0000 0.4973 1
Rh2 0.0000 0.0000 0.7563 1
# Crystal system: trigonal
# Formation energy from the elements, meV per atom: 229
# Calculated volume, Å³/cell: 221

Record 2
# Ce2Al9Ir3 (PBE, relaxed)
data_Ce2Al9Ir3
_cell_length_a 13.1796
_cell_length_b 7.6754
_cell_length_c 9.4624
_cell_angle_alpha 90.00
_cell_angle_beta 90.00
_cell_angle_gamma 90.00
_symmetry_space_group_name_H-M 'C m c m'
_symmetry_Int_Tables_number 63
_symmetry_space_group_name_Hall '-C 2c 2'
loop_
_atom_site_label
_atom_site_fract_x
_atom_site_fract_y
_atom_site_fract_z
_atom_site_occupancy
Ce1 0.1627 0.1661 0.2500 1
Al1 0.0000 0.1300 0.7500 1
Al2 0.0000 0.3345 0.0513 1
Al3 0.1033 0.4452 0.7500 1
Al4 0.1664 0.1692 0.5751 1
Ir1 0.0000 0.0000 0.0000 1
Ir2 0.1719 0.5000 0.0000 1
# Crystal system: orthorhombic
# Formation energy from the elements, meV per atom: -833
# Calculated volume, Å³/cell: 957

Record 3
# SrSb2Rh (PBE, relaxed)
data_SrSb2Rh
_cell_length_a 7.4459
_cell_length_b 4.4631
_cell_length_c 6.8355
_cell_angle_alpha 90.00
_cell_angle_beta 113.33
_cell_angle_gamma 90.00
_symmetry_space_group_name_H-M 'C 1 2/m 1'
_symmetry_Int_Tables_number 12
loop_
_symmetry_equiv_pos_as_xyz
'x,y,z'
'-x,-y,-z'
'-x,y,-z'
'x,-y,z'
'x+1/2,y+1/2,z'
'-x+1/2,-y+1/2,-z'
'-x+1/2,y+1/2,-z'
'x+1/2,-y+1/2,z'
loop_
_atom_site_label
_atom_site_fract_x
_atom_site_fract_y
_atom_site_fract_z
_atom_site_occupancy
Sr1 0.0000 0.0000 0.0000 1
Sb1 0.2208 0.0000 0.6638 1
Rh1 0.0000 0.5000 0.5000 1
# Crystal system: monoclinic
# Uncorrected formation energy, eV/f.u.: -2.631
# Calculated volume, Å³/cell: 209